VASP calculation (GGA-PBE) on a geometry-optimized ZrIrF3 structure.

Computed properties:
energy relative to the lowest polymorph listed for this composition = 0 meV/atom
total magnetic moment = 2.0 μB/f.u.
E_form (uncorrected) = -1329 meV/atom
crystal system = cubic

abc: 4.281 4.281 4.281
angles: 90.00 90.00 90.00
Fractional coordinates of all 5 atoms:
Zr1 0.000 0.000 0.000
Ir1 0.500 0.500 0.500
F1 0.000 0.000 0.500
F2 0.000 0.500 0.000
F3 0.500 0.000 0.000

---

VASP calculation (GGA-PBE) on a geometry-optimized ZrIr3F structure.

Computed properties:
energy relative to the lowest polymorph listed for this composition = 1291 meV/atom
total magnetic moment = 2.6 μB/f.u.
E_form (uncorrected) = 1783 meV/atom
crystal system = cubic

abc: 4.939 4.939 4.939
angles: 90.00 90.00 90.00
Fractional coordinates of all 5 atoms:
Zr1 0.000 0.000 0.000
Ir1 0.000 0.000 0.500
Ir2 0.000 0.500 0.000
Ir3 0.500 0.000 0.000
F1 0.500 0.500 0.500

---

VASP calculation (GGA-PBE) on a geometry-optimized ZrIrF3 structure.

Computed properties:
energy relative to the lowest polymorph listed for this composition = 944 meV/atom
total magnetic moment = 2.1 μB/f.u.
E_form (uncorrected) = -384 meV/atom
crystal system = cubic

abc: 4.309 4.309 4.309
angles: 90.00 90.00 90.00
Fractional coordinates of all 5 atoms:
Zr1 0.000 0.000 0.000
Ir1 0.500 0.500 0.500
F1 0.000 0.500 0.500
F2 0.500 0.000 0.500
F3 0.500 0.500 0.000

---

VASP calculation (GGA-PBE) on a geometry-optimized ZrIr3F structure.

Computed properties:
energy relative to the lowest polymorph listed for this composition = 0 meV/atom
total magnetic moment = 0.0 μB/f.u.
E_form (uncorrected) = 492 meV/atom
crystal system = cubic

abc: 4.303 4.303 4.303
angles: 90.00 90.00 90.00
Fractional coordinates of all 5 atoms:
Zr1 0.000 0.000 0.000
Ir1 0.000 0.500 0.500
Ir2 0.500 0.000 0.500
Ir3 0.500 0.500 0.000
F1 0.500 0.500 0.500

---

VASP calculation (GGA-PBE) on a geometry-optimized ZrIrF2 structure.

Computed properties:
energy relative to the lowest polymorph listed for this composition = 549 meV/atom
total magnetic moment = 1.0 μB/f.u.
E_form (uncorrected) = -733 meV/atom
crystal system = cubic

abc: 4.276 4.276 4.276
angles: 60.00 60.00 60.00
Fractional coordinates of all 4 atoms:
Zr1 0.000 0.000 0.000
Ir1 0.500 0.500 0.500
F1 0.250 0.250 0.250
F2 0.750 0.750 0.750

---

VASP calculation (GGA-PBE) on a geometry-optimized ZrIrF2 structure.

Computed properties:
energy relative to the lowest polymorph listed for this composition = 128 meV/atom
total magnetic moment = 0.0 μB/f.u.
E_form (uncorrected) = -1154 meV/atom
crystal system = trigonal

abc: 7.666 7.666 7.666
angles: 21.39 21.39 21.39
Fractional coordinates of all 4 atoms:
Zr1 0.000 0.000 0.000
Ir1 0.500 0.500 0.500
F1 0.405 0.405 0.405
F2 0.595 0.595 0.595

---

VASP calculation (GGA-PBE) on a geometry-optimized ZrIrF2 structure.

Computed properties:
energy relative to the lowest polymorph listed for this composition = 0 meV/atom
total magnetic moment = 0.0 μB/f.u.
E_form (uncorrected) = -1282 meV/atom
crystal system = tetragonal

abc: 8.232 8.232 8.232
angles: 153.39 153.39 37.99
Fractional coordinates of all 8 atoms:
Zr1 0.000 0.000 0.000
Zr2 0.750 0.250 0.500
Ir1 0.250 0.750 0.500
Ir2 0.500 0.500 0.000
F1 0.086 0.625 0.960
F2 0.375 0.336 0.460
F3 0.664 0.125 0.040
F4 0.875 0.914 0.540

---

VASP calculation (GGA-PBE) on a geometry-optimized KF2 structure.

Computed properties:
total magnetic moment = 1.0 μB/f.u.
E_form (uncorrected) = -1841 meV/atom
crystal system = hexagonal

abc: 4.235 4.235 8.392
angles: 90.00 90.00 120.00
Fractional coordinates of all 6 atoms:
K1 0.000 0.000 0.000
K2 0.000 0.000 0.500
F1 0.333 0.667 0.132
F2 0.333 0.667 0.368
F3 0.667 0.333 0.632
F4 0.667 0.333 0.868

---

VASP calculation (GGA-PBE) on a geometry-optimized KF2 structure.

Computed properties:
total magnetic moment = 0.0 μB/f.u.
E_form (uncorrected) = -1885 meV/atom
crystal system = monoclinic

abc: 4.114 4.114 4.169
angles: 120.07 120.07 75.49
Fractional coordinates of all 3 atoms:
K1 0.000 0.000 0.000
F1 0.499 0.499 0.749
F2 0.501 0.501 0.251

---

VASP calculation (GGA-PBE) on a geometry-optimized K3F structure.

Computed properties:
energy relative to the lowest polymorph listed for this composition = 41 meV/atom
total magnetic moment = 0.0 μB/f.u.
E_form (uncorrected) = -1210 meV/atom
crystal system = orthorhombic

abc: 3.730 4.060 11.253
angles: 90.00 90.00 90.00
Fractional coordinates of all 4 atoms:
K1 0.000 0.000 0.000
K2 0.000 0.500 0.271
K3 0.500 0.500 0.652
F1 0.500 0.000 0.177

---

VASP calculation (GGA-PBE) on a geometry-optimized KF6 structure.

Computed properties:
energy relative to the lowest polymorph listed for this composition = 310 meV/atom
total magnetic moment = 5.0 μB/f.u.
E_form (uncorrected) = -443 meV/atom
crystal system = cubic

abc: 5.342 5.342 5.342
angles: 109.47 109.47 109.47
Fractional coordinates of all 7 atoms:
K1 0.000 0.000 0.000
F1 0.250 0.500 0.750
F2 0.250 0.750 0.500
F3 0.500 0.250 0.750
F4 0.500 0.750 0.250
F5 0.750 0.250 0.500
F6 0.750 0.500 0.250

---

VASP calculation (GGA-PBE) on a geometry-optimized K3F2 structure.

Computed properties:
total magnetic moment = 0.4 μB/f.u.
E_form (uncorrected) = -2028 meV/atom
crystal system = trigonal

abc: 7.741 7.741 7.741
angles: 52.46 52.46 52.46
Fractional coordinates of all 10 atoms:
K1 0.063 0.750 0.437
K2 0.250 0.563 0.937
K3 0.437 0.063 0.750
K4 0.563 0.937 0.250
K5 0.750 0.437 0.063
K6 0.937 0.250 0.563
F1 0.163 0.163 0.163
F2 0.337 0.337 0.337
F3 0.663 0.663 0.663
F4 0.837 0.837 0.837

---

- What is the total magnetic moment in the fifth record?
  1.0 μB/f.u.